Record 1
The following is a PBEsol calculation of PtSeBr2 after structural relaxation, from Alexandria via LeMat-Bulk.

The value obtained for the electronic total energy is -15.3 eV/cell. Its space group is Imm2 (44).

Geometry as POSCAR:
```
PtSeBr2
1.0
3.587 0.000 0.000
0.000 5.080 0.000
-1.794 -2.540 7.323
Pt Se Br
1 1 2
direct
0.463 0.463 0.927 Pt
0.069 0.569 0.139 Se
0.120 0.120 0.240 Br
0.847 0.347 0.695 Br
```


Record 2
The following is a PBEsol calculation of PtSe2Br after structural relaxation, from Alexandria via LeMat-Bulk.

The value obtained for the electronic total energy is -15.6 eV/cell. Its space group is Pmmm (47). The energy above the most stable polymorph in this dataset is 0.5333 eV/atom.

Geometry as POSCAR:
```
PtSe2Br
1.0
-2.434 1.332 -0.764
-1.402 -0.499 3.596
3.028 6.745 2.116
Pt Se Br
1 2 1
direct
0.500 0.500 0.500 Pt
0.000 0.000 0.664 Se
0.000 0.000 0.336 Se
0.500 0.500 0.000 Br
```


Record 3
The following is a PBEsol calculation of PtSe2Br after structural relaxation, from Alexandria via LeMat-Bulk.

The value obtained for the electronic total energy is -17.8 eV/cell. Its space group is C2/m (12). The energy above the most stable polymorph in this dataset is 0.0000 eV/atom.

Geometry as POSCAR:
```
PtSe2Br
1.0
3.749 0.000 0.000
-1.875 3.319 -0.068
0.000 -0.736 7.065
Se Pt Br
2 1 1
direct
0.815 0.629 0.822 Se
0.185 0.371 0.178 Se
0.500 0.000 0.000 Pt
0.000 0.000 0.500 Br
```


Record 4
The following is a PBEsol calculation of PtSe2Br after structural relaxation, from Alexandria via LeMat-Bulk.

The value obtained for the electronic total energy is -14.3 eV/cell. Its space group is P4/mmm (123). The energy above the most stable polymorph in this dataset is 0.8686 eV/atom.

Geometry as POSCAR:
```
PtSe2Br
1.0
2.961 0.000 0.000
0.000 4.982 0.000
0.000 0.000 4.982
Se Br Pt
2 1 1
direct
0.000 0.500 0.000 Se
0.000 0.000 0.500 Se
0.500 0.500 0.500 Br
0.500 0.000 0.000 Pt
```


Record 5
The following is a PBEsol calculation of PtSe2Br after structural relaxation, from Alexandria via LeMat-Bulk.

The value obtained for the electronic total energy is -17.7 eV/cell. Its space group is P2/m (10). The energy above the most stable polymorph in this dataset is 0.0099 eV/atom.

Geometry as POSCAR:
```
PtSe2Br
1.0
3.731 0.000 0.000
0.000 4.672 -0.049
0.000 -1.586 5.138
Br Pt Se
1 1 2
direct
0.500 0.500 0.500 Br
0.500 0.500 0.000 Pt
0.000 0.859 0.154 Se
0.000 0.141 0.846 Se
```


Record 6
The following is a PBEsol calculation of PtSe2Br after structural relaxation, from Alexandria via LeMat-Bulk.

The value obtained for the electronic total energy is -15.6 eV/cell. Its space group is P4mm (99). The energy above the most stable polymorph in this dataset is 0.5506 eV/atom.

Geometry as POSCAR:
```
PtSe2Br
1.0
3.375 0.000 0.000
0.000 3.367 0.000
0.000 0.000 8.101
Se Br Pt
2 1 1
direct
0.000 0.000 0.824 Se
0.500 0.500 0.229 Se
0.000 0.000 0.512 Br
0.500 0.500 0.935 Pt
```


Record 7
The following is a PBEsol calculation of PtSeBr2 after structural relaxation, from Alexandria via LeMat-Bulk.

The value obtained for the electronic total energy is -13.1 eV/cell. Its space group is Cmmm (65).

Geometry as POSCAR:
```
PtSeBr2
1.0
3.349 0.000 0.000
-1.675 3.015 0.000
0.000 0.000 9.287
Pt Br Se
1 2 1
direct
0.500 0.000 0.500 Pt
0.000 0.000 0.692 Br
0.000 0.000 0.308 Br
0.500 0.000 0.000 Se
```


Record 8
The following is a PBEsol calculation of PtSe2Br after structural relaxation, from Alexandria via LeMat-Bulk.

The value obtained for the electronic total energy is -17.7 eV/cell. Its space group is R-3m (166). The energy above the most stable polymorph in this dataset is 0.0152 eV/atom.

Geometry as POSCAR:
```
PtSe2Br
1.0
3.763 0.000 0.000
1.882 3.259 0.000
1.882 1.086 6.957
Pt Se Br
1 2 1
direct
0.000 0.000 0.000 Pt
0.727 0.727 0.820 Se
0.273 0.273 0.180 Se
0.500 0.500 0.500 Br
```


Record 9
The following is a PBEsol calculation of PtSe2Br after structural relaxation, from Alexandria via LeMat-Bulk.

The value obtained for the electronic total energy is -15.2 eV/cell. Its space group is Cmm2 (35). The energy above the most stable polymorph in this dataset is 0.6502 eV/atom.

Geometry as POSCAR:
```
PtSe2Br
1.0
-2.857 -1.367 -1.572
2.718 -1.699 0.514
-3.138 -2.609 7.968
Br Se Pt
1 2 1
direct
0.000 0.000 0.561 Br
0.500 0.000 0.222 Se
0.000 0.000 0.950 Se
0.500 0.000 0.767 Pt
```


Record 10
The following is a PBEsol calculation of PtSeBr2 after structural relaxation, from Alexandria via LeMat-Bulk.

The value obtained for the electronic total energy is -15.5 eV/cell. Its space group is R3m (160).

Geometry as POSCAR:
```
PtSeBr2
1.0
3.697 0.000 0.000
1.849 3.202 0.000
1.849 1.067 7.732
Br Se Pt
2 1 1
direct
0.776 0.776 0.671 Br
0.983 0.983 0.050 Br
0.232 0.232 0.303 Se
0.508 0.508 0.476 Pt
```


Record 11
The following is a PBEsol calculation of SnPtSe2Br after structural relaxation, from Alexandria via LeMat-Bulk.

The value obtained for the electronic total energy is -20.5 eV/cell. Its space group is P4/mmm (123).

Geometry as POSCAR:
```
SnPtSe2Br
1.0
4.937 0.000 0.000
0.000 4.937 0.000
0.000 0.000 5.015
Br Pt Sn Se
1 1 1 2
direct
0.000 0.000 0.500 Br
0.000 0.000 0.000 Pt
0.500 0.500 0.500 Sn
0.000 0.500 0.000 Se
0.500 0.000 0.000 Se
```


Record 12
The following is a PBEsol calculation of Si2PtBr after structural relaxation, from Alexandria via LeMat-Bulk.

The value obtained for the electronic total energy is -18.1 eV/cell. Its space group is P4/mmm (123). The energy above the most stable polymorph in this dataset is 0.5331 eV/atom.

Geometry as POSCAR:
```
Si2PtBr
1.0
-1.126 1.656 3.119
-1.281 -3.243 1.259
4.451 -0.941 2.106
Pt Si Br
1 2 1
direct
0.000 0.000 0.500 Pt
0.000 0.500 0.000 Si
0.500 0.000 0.000 Si
0.500 0.500 0.500 Br
```